[1]
# ZrRe2Tc

A PBEsol-optimized structure of ZrRe2Tc (meta-GGA SCAN, the Alexandria database).

Calculated formation energy in kJ per mole of atoms: -9.6
Fermi-level density of states in states/eV/f.u.: 2.8
Total magnetization in μB per atom: 0.000
Crystal system: orthorhombic
Energy above the lowest structure with this stoichiometry in meV/atom: 0.0
Total DFT energy (no corrections) in eV/atom: -52.088

Cell and atoms, written as POSCAR:
```
ZrRe2Tc
1.0
3.120 0.000 0.000
0.000 4.528 0.000
-1.560 -2.264 4.463
Re Tc Zr
2 1 1
direct
0.007 0.007 0.014
0.748 0.248 0.496
0.495 0.495 0.991
0.250 0.750 0.499
```

---

[2]
# NaZrIn3

A PBEsol-optimized structure of NaZrIn3 (meta-GGA SCAN, the Alexandria database).

Calculated formation energy in kJ per mole of atoms: 24.4
Fermi-level density of states in states/eV/f.u.: 4.1
Total magnetization in μB per atom: 0.000
Crystal system: cubic
Total DFT energy (no corrections) in eV/atom: -26.762

Cell and atoms, written as POSCAR:
```
NaZrIn3
1.0
5.541 0.000 0.000
0.000 5.541 0.000
0.000 0.000 5.541
Na Zr In
1 1 3
direct
0.500 0.500 0.500
0.000 0.000 0.000
0.000 0.500 0.000
0.000 0.000 0.500
0.500 0.000 0.000
```

---

[3]
# AlZnAs2Br

A PBEsol-optimized structure of AlZnAs2Br (meta-GGA SCAN, the Alexandria database).

Fermi-level density of states in states/eV/f.u.: 3.0
Total magnetization in μB per atom: 0.270
Crystal system: tetragonal
Total DFT energy (no corrections) in eV/atom: -15.641
Formation energy (no corrections) in eV/atom: 0.58

Cell and atoms, written as POSCAR:
```
AlZnAs2Br
1.0
4.760 0.000 0.000
0.000 4.760 0.000
0.000 0.000 5.222
As Zn Br Al
2 1 1 1
direct
0.000 0.500 0.000
0.500 0.000 0.000
0.000 0.000 0.000
0.000 0.000 0.500
0.500 0.500 0.500
```

---

[4]
# Li2InAs

A PBEsol-optimized structure of Li2InAs (meta-GGA SCAN, the Alexandria database).

Calculated formation energy in kJ per mole of atoms: -39.2
Fermi-level density of states in states/eV/f.u.: 0.9
Total magnetization in μB per atom: 0.000
Crystal system: tetragonal
Total DFT energy (no corrections) in eV/atom: -14.995

Cell and atoms, written as POSCAR:
```
Li2InAs
1.0
-2.064 1.096 -3.324
-2.682 -2.974 0.685
-0.021 3.646 3.698
As In Li
1 1 2
direct
0.000 0.000 0.000
0.250 0.750 0.500
0.500 0.500 0.000
0.750 0.250 0.500
```

---

[5]
# Rb2MgZn

A PBEsol-optimized structure of Rb2MgZn (meta-GGA SCAN, the Alexandria database).

Calculated formation energy in kJ per mole of atoms: 33.4
Fermi-level density of states in states/eV/f.u.: 4.1
Total magnetization in μB per atom: 0.000
Crystal system: cubic
Total DFT energy (no corrections) in eV/atom: -14.646

Cell and atoms, written as POSCAR:
```
Rb2MgZn
1.0
6.257 0.000 0.000
3.128 5.419 0.000
3.128 1.806 5.109
Zn Mg Rb
1 1 2
direct
0.500 0.500 0.500
0.000 0.000 0.000
0.250 0.250 0.250
0.750 0.750 0.750
```

---

[6]
# NaFe3Te

A PBEsol-optimized structure of NaFe3Te (meta-GGA SCAN, the Alexandria database).

Fermi-level density of states in states/eV/f.u.: 6.7
Total magnetization in μB per atom: 1.433
Crystal system: cubic
Energy above the lowest structure with this stoichiometry in meV/atom: 0.0
Total DFT energy (no corrections) in eV/atom: -18.187
Formation energy (no corrections) in eV/atom: 0.98

Cell and atoms, written as POSCAR:
```
NaFe3Te
1.0
-2.357 2.821 -2.998
2.703 -1.544 -3.578
-3.104 -3.487 -0.840
Na Te Fe
1 1 3
direct
0.500 0.500 0.500
0.000 0.000 0.000
0.000 0.500 0.000
0.000 0.000 0.500
0.500 0.000 0.000
```

---

[7]
# KAl2Ni

A PBEsol-optimized structure of KAl2Ni (meta-GGA SCAN, the Alexandria database).

Calculated formation energy in kJ per mole of atoms: -4.0
Fermi-level density of states in states/eV/f.u.: 1.8
Total magnetization in μB per atom: 0.000
Crystal system: orthorhombic
Total DFT energy (no corrections) in eV/atom: -10.043

Cell and atoms, written as POSCAR:
```
KAl2Ni
1.0
2.736 0.000 0.000
0.000 4.030 0.000
-1.368 -2.015 7.708
Ni K Al
1 1 2
direct
0.269 0.769 0.538
0.571 0.571 0.142
0.898 0.898 0.796
0.762 0.262 0.525
```

---

[8]
# Be2InSe

A PBEsol-optimized structure of Be2InSe (meta-GGA SCAN, the Alexandria database).

Fermi-level density of states in states/eV/f.u.: 1.2
Total magnetization in μB per atom: 0.000
Crystal system: monoclinic
Total DFT energy (no corrections) in eV/atom: -15.012
Formation energy (no corrections) in eV/atom: 0.53

Cell and atoms, written as POSCAR:
```
Be2InSe
1.0
-2.105 -2.769 0.015
3.056 -1.141 3.145
-2.543 3.111 2.095
Be Se In
2 1 1
direct
0.000 0.000 0.500
0.000 0.500 0.000
0.500 0.000 0.000
0.500 0.500 0.500
```

---

[9]
# Sc2TaCr

A PBEsol-optimized structure of Sc2TaCr (meta-GGA SCAN, the Alexandria database).

Calculated formation energy in kJ per mole of atoms: 22.1
Fermi-level density of states in states/eV/f.u.: 2.9
Total magnetization in μB per atom: 0.199
Crystal system: cubic
Energy above the lowest structure with this stoichiometry in meV/atom: 40.7
Total DFT energy (no corrections) in eV/atom: -28.132

Cell and atoms, written as POSCAR:
```
Sc2TaCr
1.0
4.637 0.000 0.000
2.319 4.016 0.000
2.319 1.339 3.786
Cr Sc Ta
1 2 1
direct
0.250 0.250 0.250
0.000 0.000 0.000
0.750 0.750 0.750
0.500 0.500 0.500
```

---

[10]
# TmAlNi4

A PBEsol-optimized structure of TmAlNi4 (meta-GGA SCAN, the Alexandria database).

Calculated formation energy in kJ per mole of atoms: -47.1
Fermi-level density of states in states/eV/f.u.: 4.9
Total magnetization in μB per atom: 0.004
Crystal system: hexagonal
Energy above the lowest structure with this stoichiometry in meV/atom: 79.3
Total DFT energy (no corrections) in eV/atom: -21.201

Cell and atoms, written as POSCAR:
```
TmAlNi4
1.0
3.813 0.000 0.000
0.000 4.942 0.000
0.000 -2.471 4.280
Ni Tm Al
4 1 1
direct
0.000 0.333 0.667
0.500 0.004 0.502
0.500 0.498 0.996
0.500 0.498 0.502
0.000 0.000 0.000
0.000 0.667 0.333
```

---

[11]
# TcRuOF2

A PBEsol-optimized structure of TcRuOF2 (meta-GGA SCAN, the Alexandria database).

Fermi-level density of states in states/eV/f.u.: 1.5
Total magnetization in μB per atom: 0.610
Crystal system: tetragonal
Total DFT energy (no corrections) in eV/atom: -17.209
Formation energy (no corrections) in eV/atom: -0.57

Cell and atoms, written as POSCAR:
```
TcRuOF2
1.0
-3.090 -2.058 0.163
2.300 -3.440 0.180
0.051 0.250 4.134
Ru Tc O F
1 1 1 2
direct
0.500 0.500 0.500
0.000 0.000 0.000
0.500 0.000 0.000
0.000 0.000 0.500
0.000 0.500 0.000
```

---

[12]
# Cr2NCl

A PBEsol-optimized structure of Cr2NCl (meta-GGA SCAN, the Alexandria database).

Fermi-level density of states in states/eV/f.u.: 2.1
Total magnetization in μB per atom: 1.004
Crystal system: cubic
Total DFT energy (no corrections) in eV/atom: -12.932
Formation energy (no corrections) in eV/atom: 0.58

Cell and atoms, written as POSCAR:
```
Cr2NCl
1.0
3.854 0.000 0.000
1.927 3.338 0.000
1.927 1.113 3.147
Cr N Cl
2 1 1
direct
0.250 0.250 0.250
0.750 0.750 0.750
0.000 0.000 0.000
0.500 0.500 0.500
```